Here is a relaxed Pr3PdPt3 crystal from the Alexandria database. Energies are from PBE.

Computed properties:
total moment	0.000	μB/atom
energy relative to the elements	-0.993	eV per atom
E_tot	-6.372	eV/atom
D(E_F)	3.93	states/eV/cell
space group	No. 44
crystal system	orthorhombic

a b c (Å): 4.339 4.022 10.111
angles (deg): 101.47 102.39 90.00
Fractional coordinates of all 7 atoms:
Pr (0.314, 0.814, 0.627)
Pr (0.686, 0.186, 0.372)
Pr (0.003, 0.003, 0.006)
Pd (0.431, 0.431, 0.863)
Pt (0.156, 0.656, 0.312)
Pt (0.844, 0.344, 0.688)
Pt (0.567, 0.567, 0.134)

=====

Here is a relaxed TaBiAs2Se crystal from the Alexandria database. Energies are from PBE.

Computed properties:
total moment	0.000	μB/atom
relative energy among the computed polymorphs	0.0	meV/atom
E_tot	-5.488	eV/atom
D(E_F)	4.51	states/eV/cell
formation energy from raw total energies	1.08	eV/f.u.
space group	No. 123
crystal system	tetragonal

a b c (Å): 5.111 5.111 4.916
angles (deg): 90.00 90.00 90.00
Fractional coordinates of all 5 atoms:
As (0.000, 0.500, 0.000)
As (0.500, 0.000, 0.000)
Bi (0.500, 0.500, 0.500)
Se (0.000, 0.000, 0.500)
Ta (0.000, 0.000, 0.000)

=====

Here is a relaxed MgCuRuC crystal from the Alexandria database. Energies are from PBE.

Computed properties:
total moment	0.000	μB/atom
energy relative to the elements	0.288	eV per atom
relative energy among the computed polymorphs	63.9	meV/atom
E_tot	-5.760	eV/atom
D(E_F)	3.61	states/eV/cell
space group	No. 8
crystal system	monoclinic

a b c (Å): 6.210 3.428 5.643
angles (deg): 90.00 108.36 90.00
Fractional coordinates of all 8 atoms:
Ru (0.855, 0.000, 0.825)
Ru (0.855, 0.500, 0.325)
Mg (0.209, 0.000, 0.605)
Mg (0.209, 0.500, 0.105)
C (0.892, 0.000, 0.179)
C (0.892, 0.500, 0.679)
Cu (0.529, 0.000, 0.058)
Cu (0.529, 0.500, 0.558)

=====

Here is a relaxed PuZnPd2 crystal from the Alexandria database. Energies are from PBE.

Computed properties:
total moment	1.350	μB/atom
energy relative to the elements	-0.330	eV per atom
E_tot	-6.828	eV/atom
D(E_F)	12.94	states/eV/cell
space group	No. 123
crystal system	tetragonal

a b c (Å): 3.281 4.752 4.752
angles (deg): 90.00 90.00 90.00
Fractional coordinates of all 4 atoms:
Zn (0.500, 0.500, 0.500)
Pd (0.000, 0.000, 0.500)
Pd (0.000, 0.500, 0.000)
Pu (0.500, 0.000, 0.000)

=====

Here is a relaxed YTi2Pt crystal from the Alexandria database. Energies are from PBE.

Computed properties:
total moment	0.000	μB/atom
energy relative to the elements	-0.453	eV per atom
relative energy among the computed polymorphs	66.4	meV/atom
E_tot	-7.527	eV/atom
D(E_F)	19.85	states/eV/cell
space group	No. 8
crystal system	monoclinic

a b c (Å): 10.588 3.301 10.348
angles (deg): 90.00 116.36 90.00
Fractional coordinates of all 16 atoms:
Y (0.811, 0.000, 0.114)
Y (0.811, 0.500, 0.614)
Y (0.580, 0.000, 0.274)
Y (0.580, 0.500, 0.774)
Pt (0.443, 0.000, 0.922)
Pt (0.443, 0.500, 0.422)
Pt (0.837, 0.000, 0.848)
Pt (0.837, 0.500, 0.348)
Ti (0.314, 0.000, 0.534)
Ti (0.314, 0.500, 0.034)
Ti (0.037, 0.000, 0.526)
Ti (0.037, 0.500, 0.026)
Ti (0.103, 0.000, 0.827)
Ti (0.103, 0.500, 0.327)
Ti (0.258, 0.000, 0.226)
Ti (0.258, 0.500, 0.726)

=====

Here is a relaxed YTmCI crystal from the Alexandria database. Energies are from PBE.

Computed properties:
total moment	0.000	μB/atom
E_tot	-6.171	eV/atom
D(E_F)	2.22	states/eV/cell
formation energy from raw total energies	-2.97	eV/f.u.
space group	No. 160
crystal system	trigonal

a b c (Å): 3.746 3.746 7.671
angles (deg): 90.00 104.14 120.00
Fractional coordinates of all 4 atoms:
Y (0.522, 0.159, 0.696)
Tm (0.081, 0.938, 0.034)
C (0.310, 0.553, 0.879)
I (0.965, 0.381, 0.361)

=====

Here is a relaxed SrBeCrNi2 crystal from the Alexandria database. Energies are from PBE.

Computed properties:
total moment	0.921	μB/atom
energy relative to the elements	2.188	eV per atom
E_tot	-3.131	eV/atom
D(E_F)	3.44	states/eV/cell
space group	No. 123
crystal system	tetragonal

a b c (Å): 4.695 4.695 5.264
angles (deg): 90.00 90.00 90.00
Fractional coordinates of all 5 atoms:
Sr (0.000, 0.000, 0.000)
Be (0.500, 0.500, 0.500)
Cr (0.000, 0.000, 0.500)
Ni (0.000, 0.500, 0.000)
Ni (0.500, 0.000, 0.000)

=====

Here is a relaxed ZrRu2PtW crystal from the Alexandria database. Energies are from PBE.

Computed properties:
total moment	0.146	μB/atom
energy relative to the elements	2.053	eV per atom
E_tot	-7.166	eV/atom
D(E_F)	4.93	states/eV/cell
space group	No. 123
crystal system	tetragonal

a b c (Å): 4.651 4.842 4.651
angles (deg): 90.00 90.00 90.00
Fractional coordinates of all 5 atoms:
Ru (0.000, 0.000, 0.500)
Ru (0.500, 0.000, 0.000)
Zr (0.000, 0.000, 0.000)
W (0.000, 0.500, 0.000)
Pt (0.500, 0.500, 0.500)